A plane-wave DFT calculation with PBE was carried out for a relaxed structure of Th8TcTe4Ru3.

total magnetic moment: 0.000 μB/f.u.
raw total energy: -7.7029 eV/atom
ρ: 9.90 g/cm3
energy relative to the elements, uncorrected: -821 meV/atom
SG: R-3m (166)

a b c (Å): 8.334 9.092 8.335
angles (deg): 117.28 120.00 90.00
Fractional positions:
Th  0.233  0.700  0.967
Th  0.232  0.700  0.465
Th  0.267  0.302  0.535
Th  0.735  0.700  0.967
Th  0.265  0.300  0.033
Th  0.733  0.698  0.465
Th  0.768  0.300  0.535
Th  0.767  0.300  0.033
Tc  0.000  0.500  0.000
Te  0.500  0.000  0.000
Te  0.500  0.000  0.500
Te  0.000  0.000  0.000
Te  0.000  0.000  0.500
Ru  0.500  0.500  0.000
Ru  0.500  0.500  0.500
Ru  0.000  0.500  0.500

***

A plane-wave DFT calculation with PBE was carried out for a relaxed structure of Tc2TeRuW.

total magnetic moment: 2.608 μB/f.u.
raw total energy: -6.8486 eV/atom
ρ: 9.31 g/cm3
energy relative to the elements, uncorrected: 2372 meV/atom
SG: P4/mmm (123)

a b c (Å): 4.725 4.864 4.725
angles (deg): 90.00 90.00 90.00
Last column: magnetic moment on the atom in μB.
Fractional positions:
Ru  0.500  0.500  0.500  2.28
Te  0.000  0.000  0.000  0.04
Tc  0.000  0.000  0.500  0.13
Tc  0.500  0.000  0.000  0.10
W  0.000  0.500  0.000  -0.04

***

A plane-wave DFT calculation with PBE was carried out for a relaxed structure of ZnTc2TeRu.

total magnetic moment: 2.815 μB/f.u.
raw total energy: -5.2486 eV/atom
ρ: 7.26 g/cm3
energy relative to the elements, uncorrected: 1636 meV/atom
SG: P4/mmm (123)

a b c (Å): 4.840 4.783 4.840
angles (deg): 90.00 90.00 90.00
Last column: magnetic moment on the atom in μB.
Fractional positions:
Ru  0.000  0.500  0.000  0.51
Zn  0.500  0.500  0.500  -0.03
Te  0.000  0.000  0.000  -0.05
Tc  0.000  0.000  0.500  1.17
Tc  0.500  0.000  0.000  1.04

***

A plane-wave DFT calculation with PBE was carried out for a relaxed structure of Th3TcRu.

total magnetic moment: 0.000 μB/f.u.
raw total energy: -8.6009 eV/atom
ρ: 10.82 g/cm3
DFT formation energy: -1.1 eV per formula unit
SG: P-1 (2)

a b c (Å): 7.053 7.055 7.580
angles (deg): 62.18 62.17 59.84
Fractional positions:
Th  0.750  0.406  0.752
Th  0.092  0.751  0.751
Th  0.405  0.092  0.752
Th  0.250  0.594  0.248
Th  0.908  0.249  0.249
Th  0.595  0.908  0.248
Tc  0.332  0.332  0.005
Tc  0.668  0.668  0.995
Ru  0.829  0.829  0.512
Ru  0.171  0.171  0.488

***

A plane-wave DFT calculation with PBE was carried out for a relaxed structure of Th6Tc2Ru.

total magnetic moment: 0.000 μB/f.u.
raw total energy: -8.4704 eV/atom
ρ: 11.48 g/cm3
DFT formation energy: -1.7 eV per formula unit
SG: C2/m (12)

a b c (Å): 3.980 6.577 9.803
angles (deg): 88.08 90.00 107.61
Fractional positions:
Th  0.859  0.717  0.427
Th  0.141  0.283  0.573
Th  0.854  0.708  0.061
Th  0.146  0.292  0.939
Th  0.589  0.179  0.231
Th  0.411  0.821  0.769
Tc  0.255  0.509  0.254
Tc  0.745  0.491  0.746
Ru  0.500  0.000  0.500

***

A plane-wave DFT calculation with PBE was carried out for a relaxed structure of Th8TcRu2.

total magnetic moment: 0.000 μB/f.u.
raw total energy: -8.1354 eV/atom
ρ: 11.48 g/cm3
DFT formation energy: -1.2 eV per formula unit
SG: Cm (8)

a b c (Å): 6.285 7.823 7.823
angles (deg): 118.23 101.57 101.57
Fractional positions:
Th  0.594  0.366  0.105
Th  0.594  0.105  0.366
Th  0.164  0.350  0.350
Th  0.980  0.192  0.782
Th  0.980  0.782  0.192
Th  0.809  0.649  0.649
Th  0.363  0.901  0.651
Th  0.363  0.651  0.901
Tc  0.195  0.008  0.008
Ru  0.479  0.710  0.320
Ru  0.479  0.320  0.710

***

A plane-wave DFT calculation with PBE was carried out for a relaxed structure of YThTcRu.

total magnetic moment: 0.000 μB/f.u.
raw total energy: -8.5935 eV/atom
ρ: 10.23 g/cm3
DFT formation energy: -0.8 eV per formula unit
SG: F-43m (216)

a b c (Å): 4.924 4.924 4.924
angles (deg): 60.00 60.00 60.00
Fractional positions:
Y  0.500  0.500  0.500
Ru  0.250  0.250  0.250
Tc  0.750  0.750  0.750
Th  0.000  0.000  0.000

***

A plane-wave DFT calculation with PBE was carried out for a relaxed structure of TiTc3Ru.

total magnetic moment: 1.699 μB/f.u.
raw total energy: -8.1443 eV/atom
ρ: 8.47 g/cm3
DFT formation energy: 7.5 eV per formula unit
SG: Pm-3m (221)
energy above the most stable polymorph in this dataset: 36 meV per atom

a b c (Å): 4.428 4.428 4.428
angles (deg): 90.00 90.00 90.00
Last column: magnetic moment on the atom in μB.
Fractional positions:
Ru  0.500  0.500  0.500  1.43
Tc  0.000  0.500  0.000  0.01
Tc  0.000  0.000  0.500  0.06
Tc  0.500  0.000  0.000  0.12
Ti  0.000  0.000  0.000  0.04

***

A plane-wave DFT calculation with PBE was carried out for a relaxed structure of TiTcRu3.

total magnetic moment: 0.000 μB/f.u.
raw total energy: -7.8683 eV/atom
ρ: 7.72 g/cm3
DFT formation energy: 6.7 eV per formula unit
SG: Pm-3m (221)
energy above the most stable polymorph in this dataset: 0 meV per atom

a b c (Å): 4.588 4.588 4.588
angles (deg): 90.00 90.00 90.00
Fractional positions:
Ru  0.000  0.500  0.000
Ru  0.000  0.000  0.500
Ru  0.500  0.000  0.000
Tc  0.000  0.000  0.000
Ti  0.500  0.500  0.500

***

A plane-wave DFT calculation with PBE was carried out for a relaxed structure of Ti3Tc2Ru.

total magnetic moment: 0.000 μB/f.u.
raw total energy: -9.5350 eV/atom
ρ: 8.21 g/cm3
DFT formation energy: -3.5 eV per formula unit
SG: P4/mmm (123)

a b c (Å): 3.090 3.090 9.340
angles (deg): 90.00 90.00 90.00
Fractional positions:
Ti  0.000  0.000  0.000
Ti  0.000  0.000  0.667
Ti  0.000  0.000  0.333
Tc  0.500  0.500  0.832
Tc  0.500  0.500  0.168
Ru  0.500  0.500  0.500

***

A plane-wave DFT calculation with PBE was carried out for a relaxed structure of TiTc2Ru2.

total magnetic moment: 0.000 μB/f.u.
raw total energy: -9.4050 eV/atom
ρ: 9.65 g/cm3
DFT formation energy: 0.2 eV per formula unit
SG: P4/mbm (127)
energy above the most stable polymorph in this dataset: 8 meV per atom

a b c (Å): 7.454 7.454 2.763
angles (deg): 90.00 90.00 90.00
Fractional positions:
Ru  0.173  0.673  0.500
Ru  0.673  0.827  0.500
Ru  0.827  0.327  0.500
Ru  0.327  0.173  0.500
Tc  0.377  0.877  0.000
Tc  0.877  0.623  0.000
Tc  0.623  0.123  0.000
Tc  0.123  0.377  0.000
Ti  0.000  0.000  0.000
Ti  0.500  0.500  0.000

***

A plane-wave DFT calculation with PBE was carried out for a relaxed structure of TiTc2Ru2.

total magnetic moment: 0.000 μB/f.u.
raw total energy: -9.4131 eV/atom
ρ: 9.66 g/cm3
DFT formation energy: 0.1 eV per formula unit
SG: P4/mbm (127)
energy above the most stable polymorph in this dataset: 0 meV per atom

a b c (Å): 7.460 7.460 2.754
angles (deg): 90.00 90.00 90.00
Fractional positions:
Ru  0.376  0.876  0.000
Ru  0.876  0.624  0.000
Ru  0.624  0.124  0.000
Ru  0.124  0.376  0.000
Tc  0.172  0.672  0.500
Tc  0.672  0.828  0.500
Tc  0.828  0.328  0.500
Tc  0.328  0.172  0.500
Ti  0.000  0.000  0.000
Ti  0.500  0.500  0.000

***

A plane-wave DFT calculation with PBE was carried out for a relaxed structure of TiTc3Ru.

total magnetic moment: 0.001 μB/f.u.
raw total energy: -8.1807 eV/atom
ρ: 7.56 g/cm3
DFT formation energy: 7.4 eV per formula unit
SG: Pm-3m (221)
energy above the most stable polymorph in this dataset: 0 meV per atom

a b c (Å): 4.600 4.600 4.600
angles (deg): 90.00 90.00 90.00
Fractional positions:
Ru  0.000  0.000  0.000
Tc  0.000  0.500  0.000
Tc  0.000  0.000  0.500
Tc  0.500  0.000  0.000
Ti  0.500  0.500  0.500

***

A plane-wave DFT calculation with PBE was carried out for a relaxed structure of TiTcRu2.

total magnetic moment: 0.000 μB/f.u.
raw total energy: -8.7836 eV/atom
ρ: 9.16 g/cm3
DFT formation energy: 1.7 eV per formula unit
SG: I-42d (122)
energy above the most stable polymorph in this dataset: 469 meV per atom

a b c (Å): 3.764 3.764 9.298
angles (deg): 78.32 78.32 90.00
Fractional positions:
Ru  0.601  0.125  0.250
Ru  0.149  0.625  0.250
Ru  0.375  0.399  0.750
Ru  0.875  0.851  0.750
Tc  0.000  0.000  0.000
Tc  0.750  0.250  0.500
Ti  0.500  0.500  0.000
Ti  0.250  0.750  0.500

***

A plane-wave DFT calculation with PBE was carried out for a relaxed structure of Ti5Tc4Ru.

total magnetic moment: 0.000 μB/f.u.
raw total energy: -9.5694 eV/atom
ρ: 8.17 g/cm3
DFT formation energy: -5.5 eV per formula unit
SG: P4/mmm (123)

a b c (Å): 3.099 3.099 15.510
angles (deg): 90.00 90.00 90.00
Fractional positions:
Ti  0.500  0.500  0.100
Ti  0.500  0.500  0.299
Ti  0.500  0.500  0.500
Ti  0.500  0.500  0.701
Ti  0.500  0.500  0.900
Tc  0.000  0.000  0.199
Tc  0.000  0.000  0.400
Tc  0.000  0.000  0.600
Tc  0.000  0.000  0.801
Ru  0.000  0.000  0.000

***

A plane-wave DFT calculation with PBE was carried out for a relaxed structure of Ti5TcRu4.

total magnetic moment: 0.000 μB/f.u.
raw total energy: -9.4207 eV/atom
ρ: 8.37 g/cm3
DFT formation energy: -7.3 eV per formula unit
SG: P4/mmm (123)

a b c (Å): 3.085 3.085 15.455
angles (deg): 90.00 90.00 90.00
Fractional positions:
Ti  0.500  0.500  0.098
Ti  0.500  0.500  0.299
Ti  0.500  0.500  0.500
Ti  0.500  0.500  0.701
Ti  0.500  0.500  0.902
Tc  0.000  0.000  0.000
Ru  0.000  0.000  0.202
Ru  0.000  0.000  0.401
Ru  0.000  0.000  0.599
Ru  0.000  0.000  0.798

***

A plane-wave DFT calculation with PBE was carried out for a relaxed structure of Ti4TcRu.

total magnetic moment: 0.000 μB/f.u.
raw total energy: -8.9678 eV/atom
ρ: 6.96 g/cm3
DFT formation energy: -2.6 eV per formula unit
SG: P4/mmm (123)
energy above the most stable polymorph in this dataset: 0 meV per atom

a b c (Å): 3.116 3.116 9.597
angles (deg): 90.00 90.00 90.00
Fractional positions:
Ti  0.500  0.500  0.846
Ti  0.500  0.500  0.154
Ti  0.000  0.000  0.656
Ti  0.000  0.000  0.344
Tc  0.000  0.000  0.000
Ru  0.500  0.500  0.500

***

A plane-wave DFT calculation with PBE was carried out for a relaxed structure of Ti6TcRu5.

total magnetic moment: 0.000 μB/f.u.
raw total energy: -9.4152 eV/atom
ρ: 8.40 g/cm3
DFT formation energy: -8.9 eV per formula unit
SG: C2/m (12)

a b c (Å): 4.356 6.173 7.559
angles (deg): 114.10 106.67 90.00
Fractional positions:
Ru  0.668  0.168  0.335
Ru  0.333  0.333  0.667
Ru  0.000  0.500  0.000
Ru  0.667  0.667  0.333
Ru  0.332  0.832  0.665
Tc  0.000  0.000  0.000
Ti  0.834  0.585  0.668
Ti  0.834  0.083  0.668
Ti  0.500  0.752  0.000
Ti  0.500  0.248  0.000
Ti  0.166  0.917  0.332
Ti  0.166  0.415  0.332

***

A plane-wave DFT calculation with PBE was carried out for a relaxed structure of Ti6Tc5Ru.

total magnetic moment: 0.000 μB/f.u.
raw total energy: -9.5802 eV/atom
ρ: 8.15 g/cm3
DFT formation energy: -6.5 eV per formula unit
SG: Immm (71)

a b c (Å): 4.389 6.194 7.597
angles (deg): 114.06 106.79 90.00
Fractional positions:
Ru  0.000  0.000  0.000
Tc  0.667  0.167  0.333
Tc  0.333  0.333  0.667
Tc  0.000  0.500  0.000
Tc  0.667  0.667  0.333
Tc  0.333  0.833  0.667
Ti  0.834  0.583  0.667
Ti  0.833  0.084  0.667
Ti  0.500  0.750  0.000
Ti  0.500  0.250  0.000
Ti  0.167  0.916  0.333
Ti  0.166  0.417  0.333

***

A plane-wave DFT calculation with PBE was carried out for a relaxed structure of TiTcRu3.

total magnetic moment: 0.000 μB/f.u.
raw total energy: -7.8213 eV/atom
ρ: 8.67 g/cm3
DFT formation energy: 7.0 eV per formula unit
SG: Pm-3m (221)
energy above the most stable polymorph in this dataset: 47 meV per atom

a b c (Å): 4.415 4.415 4.415
angles (deg): 90.00 90.00 90.00
Fractional positions:
Ru  0.000  0.500  0.000
Ru  0.000  0.000  0.500
Ru  0.500  0.000  0.000
Tc  0.500  0.500  0.500
Ti  0.000  0.000  0.000

***

A plane-wave DFT calculation with PBE was carried out for a relaxed structure of Ti3TcRu.

total magnetic moment: 0.000 μB/f.u.
raw total energy: -7.9215 eV/atom
ρ: 5.90 g/cm3
DFT formation energy: 3.7 eV per formula unit
SG: Pm-3m (221)
energy above the most stable polymorph in this dataset: 0 meV per atom

a b c (Å): 4.587 4.587 4.587
angles (deg): 90.00 90.00 90.00
Fractional positions:
Ru  0.000  0.000  0.000
Tc  0.500  0.500  0.500
Ti  0.000  0.500  0.000
Ti  0.000  0.000  0.500
Ti  0.500  0.000  0.000

***

A plane-wave DFT calculation with PBE was carried out for a relaxed structure of Ti4TcRu.

total magnetic moment: 0.001 μB/f.u.
raw total energy: -8.5533 eV/atom
ρ: 5.93 g/cm3
DFT formation energy: -0.1 eV per formula unit
SG: C2/m (12)
energy above the most stable polymorph in this dataset: 415 meV per atom

a b c (Å): 4.369 4.360 7.090
angles (deg): 72.11 72.06 59.94
Fractional positions:
Ti  0.625  0.625  0.126
Ti  0.375  0.375  0.874
Ti  0.125  0.125  0.626
Ti  0.875  0.875  0.374
Tc  0.500  0.500  0.500
Ru  0.000  0.000  0.000

***

A plane-wave DFT calculation with PBE was carried out for a relaxed structure of Ti3TcRu2.

total magnetic moment: 0.000 μB/f.u.
raw total energy: -9.4615 eV/atom
ρ: 8.33 g/cm3
DFT formation energy: -4.2 eV per formula unit
SG: P4/mmm (123)

a b c (Å): 3.089 3.089 9.264
angles (deg): 90.00 90.00 90.00
Fractional positions:
Ti  0.000  0.000  0.000
Ti  0.000  0.000  0.665
Ti  0.000  0.000  0.335
Tc  0.500  0.500  0.500
Ru  0.500  0.500  0.835
Ru  0.500  0.500  0.165

***

A plane-wave DFT calculation with PBE was carried out for a relaxed structure of TiTcRu2.

total magnetic moment: 1.468 μB/f.u.
raw total energy: -9.2529 eV/atom
ρ: 9.86 g/cm3
DFT formation energy: -0.2 eV per formula unit
SG: Fm-3m (225)
energy above the most stable polymorph in this dataset: 0 meV per atom

a b c (Å): 4.360 4.360 4.360
angles (deg): 60.00 60.00 60.00
Last column: magnetic moment on the atom in μB.
Fractional positions:
Ru  0.250  0.250  0.250  0.31
Ru  0.750  0.750  0.750  0.31
Tc  0.500  0.500  0.500  0.73
Ti  0.000  0.000  0.000  0.06

***

A plane-wave DFT calculation with PBE was carried out for a relaxed structure of TmTiTcRu.

total magnetic moment: 0.000 μB/f.u.
raw total energy: -8.3050 eV/atom
ρ: 10.31 g/cm3
DFT formation energy: -1.2 eV per formula unit
SG: F-43m (216)

a b c (Å): 4.558 4.558 4.558
angles (deg): 60.00 60.00 60.00
Fractional positions:
Ru  0.500  0.500  0.500
Tm  0.750  0.750  0.750
Tc  0.000  0.000  0.000
Ti  0.250  0.250  0.250